Model 1:
## BeNbPO (PBE)

Data for crystalline BeNbPO at its relaxed geometry.

Unit cell a=3.632 b=6.043 c=4.899 alpha=90.00 beta=90.00 gamma=90.00
Atoms (fractional coordinates):
Be  0.000  0.091  0.000
Be  0.000  0.909  0.500
Nb  0.500  0.334  0.341
Nb  0.500  0.666  0.841
P  0.500  0.260  0.838
P  0.500  0.740  0.338
O  0.000  0.143  0.327
O  0.000  0.857  0.827

**Total magnetic moment**: 0.0 Bohr magnetons per cell

***

Model 2:
## BeNbPO (PBE)

Data for crystalline BeNbPO at its relaxed geometry.

Unit cell a=3.417 b=3.417 c=7.939 alpha=90.00 beta=90.00 gamma=90.00
Atoms (fractional coordinates):
Be  0.250  0.750  0.000
Be  0.750  0.250  0.000
Nb  0.250  0.250  0.333
Nb  0.750  0.750  0.667
P  0.250  0.250  0.815
P  0.750  0.750  0.185
O  0.250  0.750  0.500
O  0.750  0.250  0.500

**Total magnetic moment**: 0.0 Bohr magnetons per cell

***

Stability verdict: model 1, ahead by 233 meV per atom

***

Model 1:
## BeNbPO (PBE)

Data for crystalline BeNbPO at its relaxed geometry.

Unit cell a=3.713 b=3.713 c=8.719 alpha=90.00 beta=90.00 gamma=90.00
Atoms (fractional coordinates):
Be  0.250  0.250  0.012
Be  0.750  0.750  0.988
Nb  0.250  0.750  0.500
Nb  0.750  0.250  0.500
P  0.250  0.250  0.306
P  0.750  0.750  0.694
O  0.250  0.750  0.000
O  0.750  0.250  0.000

**Total magnetic moment**: 0.1 Bohr magnetons per cell

***

Model 2:
## BeNbPO (PBE)

Data for crystalline BeNbPO at its relaxed geometry.

Unit cell a=2.931 b=6.092 c=5.756 alpha=90.00 beta=90.00 gamma=90.00
Atoms (fractional coordinates):
Be  0.000  0.111  0.000
Be  0.000  0.889  0.500
Nb  0.500  0.500  0.249
Nb  0.500  0.500  0.749
P  0.000  0.243  0.499
P  0.000  0.757  0.999
O  0.500  0.214  0.000
O  0.500  0.786  0.500

**Total magnetic moment**: 0.0 Bohr magnetons per cell

***

Stability verdict: model 2, ahead by 473 meV per atom

***

Model 1:
## BeNbTlOs (PBE)

Data for crystalline BeNbTlOs at its relaxed geometry.

Unit cell a=4.499 b=4.499 c=4.499 alpha=60.00 beta=60.00 gamma=60.00
Atoms (fractional coordinates):
Be  0.000  0.000  0.000
Nb  0.750  0.750  0.750
Tl  0.250  0.250  0.250
Os  0.500  0.500  0.500

**Total magnetic moment**: 0.0 Bohr magnetons per cell

***

Model 2:
## BeNbTlOs (PBE)

Data for crystalline BeNbTlOs at its relaxed geometry.

Unit cell a=4.510 b=4.510 c=4.510 alpha=60.00 beta=60.00 gamma=60.00
Atoms (fractional coordinates):
Be  0.000  0.000  0.000
Nb  0.500  0.500  0.500
Tl  0.250  0.250  0.250
Os  0.750  0.750  0.750

**Total magnetic moment**: 0.0 Bohr magnetons per cell

***

Stability verdict: model 1, ahead by 75 meV per atom